A geometry-optimized PrSe structure. Source: OQMD via LeMat-Bulk, functional PBE.

Computed properties:
DFT total energy (eV/atom): -5.502

POSCAR file:
```
PrSe
1.0
0.000 3.337 3.337
3.337 0.000 3.337
3.337 3.337 0.000
Pr Se
1 1
Cartesian
0.000 0.000 0.000
5.006 5.006 5.006
```